(1)
A geometry-optimized Na3PbBr structure. Source: the Alexandria database, functional GGA-PBEsol.

## Properties
Total energy in eV per atom: -2.119
Formation energy without anion corrections in meV per atom: -106

a = 5.9256 Å, b = 5.9256 Å, c = 5.9256 Å
α = 90.00°, β = 90.00°, γ = 90.00°
Space group Pm-3m (No. 221)
Inequivalent atoms, fractional coordinates:
Na (0.0000, 0.0000, 0.5000) x3
Pb (0.0000, 0.0000, 0.0000) x1
Br (0.5000, 0.5000, 0.5000) x1

***

(2)
A geometry-optimized NaPb2SBr structure. Source: the Alexandria database, functional GGA-PBEsol.

## Properties
Total energy in eV per atom: -3.115
Formation energy without anion corrections in meV per atom: 15

a = 5.3369 Å, b = 5.3369 Å, c = 7.2690 Å
α = 90.00°, β = 90.00°, γ = 90.00°
Space group P4/mmm (No. 123)
Inequivalent atoms, fractional coordinates:
Na (0.0000, 0.0000, 0.0000) x1
Pb (0.0000, 0.5000, 0.5000) x2
S (0.5000, 0.5000, 0.5000) x1
Br (0.5000, 0.5000, 0.0000) x1

***

(3)
A geometry-optimized NaPdBr2 structure. Source: the Alexandria database, functional GGA-PBEsol.

## Properties
Relative energy among the computed polymorphs in meV/atom: 140
Total energy in eV per atom: -3.196
Formation energy without anion corrections in meV per atom: -422

a = 6.9254 Å, b = 6.9254 Å, c = 6.9254 Å
α = 90.00°, β = 90.00°, γ = 90.00°
Space group Fm-3m (No. 225)
Inequivalent atoms, fractional coordinates:
Na (0.0000, 0.0000, 0.0000) x4
Pd (0.0000, 0.0000, 0.5000) x4
Br (0.2500, 0.2500, 0.2500) x8